K2CoW after structural relaxation. Source: Alexandria, functional PBE-GGA.

Output
Size of the total moment (μB/f.u.): 0.00
N(E_F) (states/eV per atom): 0.85
Formation energy (eV per atom): 0.944
Excess energy over the best structure of this formula in the dataset (meV per atom): 96
E_tot (eV per cell): -18.48

Unit cell a=4.1812 b=4.1812 c=10.2692 alpha=88.07 beta=88.07 gamma=41.53
Atoms (fractional coordinates):
Co 0.2410 0.2410 0.3347
K 0.9807 0.9807 0.0938
K 0.7593 0.7593 0.6656
W 0.5190 0.5190 0.4059